A geometry-optimized FePO4 structure, computed with GGA+U.

Lattice parameters (Å, degrees): 4.878 5.906 9.978 90.00 90.00 90.00
Each line ends with the local moment (μB).
Sites, in units of the cell vectors:
Fe: 0.041 0.750 0.725  4.38
Fe: 0.459 0.750 0.225  4.38
Fe: 0.959 0.250 0.275  4.38
Fe: 0.541 0.250 0.775  4.38
P: 0.592 0.750 0.904  0.02
P: 0.908 0.750 0.404  0.02
P: 0.408 0.250 0.096  0.02
P: 0.092 0.250 0.596  0.02
O: 0.283 0.750 0.878  0.10
O: 0.217 0.750 0.378  0.10
O: 0.717 0.250 0.122  0.10
O: 0.783 0.250 0.622  0.10
O: 0.849 0.750 0.554  0.11
O: 0.651 0.750 0.054  0.11
O: 0.151 0.250 0.446  0.11
O: 0.349 0.250 0.946  0.11
O: 0.740 0.547 0.830  0.14
O: 0.760 0.953 0.330  0.14
O: 0.260 0.047 0.170  0.14
O: 0.240 0.453 0.670  0.14
O: 0.260 0.453 0.170  0.14
O: 0.240 0.047 0.670  0.14
O: 0.740 0.953 0.830  0.14
O: 0.760 0.547 0.330  0.14

Values from the calculation:
The energy is -7.09 eV/atom. The symmetry is Pnma, No. 62.